1.
Computed, not measured: crystalline FeSi2Br2 at its relaxed geometry at the PBE-GGA level of DFT.

Computed properties:
As for the energy relative to the lowest polymorph listed for this composition: 0.000 eV/atom. Its space-group type is P4/mbm (127). Its uncorrected formation energy is 0.289 eV/atom.

a = 6.605 Å, b = 6.605 Å, c = 5.090 Å
α = 90.00°, β = 90.00°, γ = 90.00°
Last column: magnetic moment on the atom in μB.
Element x y z (fractional)
1 Si 0.758 0.258 0.000  -0.07
2 Br 0.307 0.193 0.500  0.04
3 Br 0.807 0.307 0.500  0.05
4 Si 0.742 0.758 0.000  -0.07
5 Si 0.242 0.742 0.000  -0.07
6 Fe 0.000 0.000 0.000  2.17
7 Si 0.258 0.242 0.000  -0.07
8 Fe 0.500 0.500 0.000  2.16
9 Br 0.193 0.693 0.500  0.05
10 Br 0.693 0.807 0.500  0.04

2.
Computed, not measured: crystalline CoNiPb at its relaxed geometry at the PBE-GGA level of DFT.

Computed properties:
As for the energy relative to the lowest polymorph listed for this composition: 0.000 eV/atom. Its space-group type is F-43m (216). The formation energy is 449 meV/atom.

a = 4.194 Å, b = 4.194 Å, c = 4.194 Å
α = 60.00°, β = 60.00°, γ = 60.00°
Last column: magnetic moment on the atom in μB.
Element x y z (fractional)
1 Ni 0.250 0.250 0.250  0.39
2 Co 0.500 0.500 0.500  1.69
3 Pb 0.000 0.000 0.000  -0.02

3.
Computed, not measured: crystalline ZnHN2F at its relaxed geometry at the PBE-GGA level of DFT.

Computed properties:
As for the energy relative to the lowest polymorph listed for this composition: 0.546 eV/atom. Its space-group type is P4/mmm (123).

a = 4.086 Å, b = 4.086 Å, c = 4.191 Å
α = 90.00°, β = 90.00°, γ = 90.00°
Last column: magnetic moment on the atom in μB.
Element x y z (fractional)
1 N 0.000 0.500 0.000  1.40
2 Zn 0.000 0.000 0.000  0.09
3 N 0.500 0.000 0.000  1.40
4 F 0.000 0.000 0.500  0.17
5 H 0.500 0.500 0.500  0.36

4.
Computed, not measured: crystalline MgS2NCl at its relaxed geometry at the PBE-GGA level of DFT.

Computed properties:
As for the energy relative to the lowest polymorph listed for this composition: 0.000 eV/atom. Its space-group type is P4/mmm (123). Its uncorrected formation energy is 0.441 eV/atom.

a = 3.856 Å, b = 3.856 Å, c = 5.987 Å
α = 90.00°, β = 90.00°, γ = 90.00°
Last column: magnetic moment on the atom in μB.
Element x y z (fractional)
1 S 0.500 0.000 0.000  0.02
2 Cl 0.000 0.000 0.500  0.01
3 Mg 0.500 0.500 0.500  0.01
4 N 0.000 0.000 0.000  0.09
5 S 0.000 0.500 0.000  0.02

5.
Computed, not measured: crystalline Si2SbSeO at its relaxed geometry at the PBE-GGA level of DFT.

Computed properties:
Its space-group type is P4/mmm (123). Its uncorrected formation energy is 1.380 eV/atom.

a = 4.708 Å, b = 5.617 Å, c = 4.708 Å
α = 90.00°, β = 90.00°, γ = 90.00°
Element x y z (fractional)
1 Si 0.500 0.000 0.000
2 Se 0.000 0.000 0.000
3 O 0.500 0.500 0.500
4 Sb 0.000 0.500 0.000
5 Si 0.000 0.000 0.500

6.
Computed, not measured: crystalline KCdPt4 at its relaxed geometry at the PBE-GGA level of DFT.

Computed properties:
Its space-group type is F-43m (216). The formation energy is -163 meV/atom.

a = 5.441 Å, b = 5.441 Å, c = 5.441 Å
α = 60.00°, β = 60.00°, γ = 60.00°
Element x y z (fractional)
1 Pt 0.625 0.625 0.125
2 Pt 0.625 0.625 0.625
3 K 0.000 0.000 0.000
4 Pt 0.625 0.125 0.625
5 Cd 0.250 0.250 0.250
6 Pt 0.125 0.625 0.625